VASP calculation (PBE-GGA) on a geometry-optimized LiTiNF2 structure.

## Properties
Space group ... P4/mmm, No. 123
Spin magnetization ... 0.00 μB/cell
Formation energy from raw total energies ... -2.009 eV/atom

Cell lengths 4.009, 4.009, 3.853 Å; angles 90.00, 90.00, 90.00 degrees
Element x y z (fractional)
Li: 0.500 0.500 0.500
N: 0.000 0.000 0.500
F: 0.000 0.500 0.000
Ti: 0.000 0.000 0.000
F: 0.500 0.000 0.000

---

VASP calculation (PBE-GGA) on a geometry-optimized Tl12CdSn2 structure.

## Properties
Formation energy ... 0.139 eV per atom
Space group ... P4/nbm, No. 125
Spin magnetization ... 0.00 μB/cell

Cell lengths 6.500, 6.500, 24.160 Å; angles 90.00, 90.00, 90.00 degrees
Element x y z (fractional)
Tl: 0.249 0.251 0.096
Sn: 0.500 0.000 0.798
Tl: 0.678 0.822 0.562
Tl: 0.749 0.249 0.096
Tl: 0.678 0.178 0.438
Tl: 0.500 0.500 0.793
Tl: 0.249 0.749 0.904
Tl: 0.000 0.000 0.207
Tl: 0.822 0.678 0.438
Sn: 0.000 0.500 0.202
Tl: 0.000 0.000 0.662
Tl: 0.751 0.251 0.904
Tl: 0.251 0.751 0.096
Tl: 0.749 0.751 0.904
Cd: 0.500 0.000 0.000
Tl: 0.500 0.500 0.662
Tl: 0.000 0.000 0.793
Tl: 0.751 0.749 0.096
Tl: 0.322 0.178 0.562
Tl: 0.322 0.822 0.438
Tl: 0.000 0.000 0.338
Sn: 0.000 0.500 0.798
Tl: 0.178 0.322 0.438
Tl: 0.500 0.500 0.338
Sn: 0.500 0.000 0.202
Tl: 0.822 0.322 0.562
Tl: 0.500 0.500 0.207
Tl: 0.178 0.678 0.562
Cd: 0.000 0.500 0.000
Tl: 0.251 0.249 0.904

---

VASP calculation (PBE-GGA) on a geometry-optimized TaFe3Tc structure.

## Properties
Formation energy ... 1.892 eV per atom
Space group ... Pm-3m, No. 221
Spin magnetization ... 2.28 μB/cell

Cell lengths 4.392, 4.392, 4.392 Å; angles 90.00, 90.00, 90.00 degrees
Element x y z (fractional)
Fe: 0.500 0.000 0.000
Fe: 0.000 0.500 0.000
Fe: 0.000 0.000 0.500
Ta: 0.000 0.000 0.000
Tc: 0.500 0.500 0.500

---

VASP calculation (PBE-GGA) on a geometry-optimized AuI2BrO structure.

## Properties
Space group ... P4/mmm, No. 123
Spin magnetization ... 0.88 μB/cell
Formation energy from raw total energies ... 0.404 eV/atom

Cell lengths 5.880, 5.880, 3.970 Å; angles 90.00, 90.00, 90.00 degrees
Element x y z (fractional)
I: 0.500 0.000 0.000
I: 0.000 0.500 0.000
Br: 0.500 0.500 0.500
Au: 0.000 0.000 0.000
O: 0.000 0.000 0.500

---

VASP calculation (PBE-GGA) on a geometry-optimized LiTi8O13 structure.

## Properties
Space group ... R-3, No. 148
Spin magnetization ... 0.00 μB/cell
Formation energy from raw total energies ... -2.812 eV/atom

Cell lengths 6.483, 6.483, 6.483 Å; angles 73.75, 73.75, 73.75 degrees
Element x y z (fractional)
O: 0.579 0.177 0.268
O: 0.421 0.823 0.732
O: 0.357 0.205 0.953
O: 0.205 0.953 0.357
O: 0.732 0.421 0.823
Ti: 0.728 0.728 0.728
Ti: 0.316 0.875 0.051
Li: 0.500 0.500 0.500
O: 0.177 0.268 0.579
Ti: 0.949 0.684 0.125
O: 0.795 0.047 0.643
O: 0.643 0.795 0.047
Ti: 0.875 0.051 0.316
O: 0.823 0.732 0.421
Ti: 0.051 0.316 0.875
Ti: 0.125 0.949 0.684
O: 0.953 0.357 0.205
O: 0.047 0.643 0.795
O: 0.268 0.579 0.177
Ti: 0.684 0.125 0.949
Ti: 0.272 0.272 0.272
O: 0.000 0.000 0.000

---

VASP calculation (PBE-GGA) on a geometry-optimized Sc2InSe structure.

## Properties
Space group ... R3m, No. 160
Spin magnetization ... 0.00 μB/cell
Formation energy from raw total energies ... -0.948 eV/atom

Cell lengths 3.648, 3.648, 8.162 Å; angles 77.08, 77.08, 60.00 degrees
Element x y z (fractional)
Sc: 0.264 0.264 0.209
Se: 0.667 0.667 0.998
Sc: 0.069 0.069 0.792
In: 0.500 0.500 0.501

---

VASP calculation (PBE-GGA) on a geometry-optimized DyNiAu structure.

## Properties
Formation energy ... -0.548 eV per atom
Space group ... P-6m2, No. 187
Spin magnetization ... 0.00 μB/cell

Cell lengths 3.575, 4.382, 4.382 Å; angles 120.00, 90.00, 90.00 degrees
Element x y z (fractional)
Ni: 0.167 0.333 0.667
Au: 0.166 0.000 0.000
Dy: 0.667 0.667 0.333

---

VASP calculation (PBE-GGA) on a geometry-optimized ScSi2Mo structure.

## Properties
Space group ... P2/m, No. 10
Spin magnetization ... 0.00 μB/cell
Formation energy from raw total energies ... -0.386 eV/atom

Cell lengths 3.296, 3.182, 6.594 Å; angles 69.90, 90.00, 90.00 degrees
Element x y z (fractional)
Mo: 0.500 0.250 0.250
Si: 0.000 0.920 0.045
Sc: 0.500 0.750 0.750
Si: 0.000 0.580 0.455

---

no.,N(E_F) (states/eV per atom)
1,0.122
2,0.527
3,1.892
4,1.603
5,0.345
6,0.660
7,0.659
8,0.721